1.
VASP calculation (PBE) on NbCd2Pd2 after structural relaxation.

a b c (Å): 7.820 7.820 2.968
angles (deg): 90.00 90.00 90.00
Space group P4/mbm (No. 127)
Symmetry-distinct sites (fractional):
Nb1 0.000 0.000 0.000 (multiplicity 2)
Cd1 0.167 0.333 0.500 (multiplicity 4)
Pd1 0.131 0.631 0.000 (multiplicity 4)

Results
Calculated formation energy   -4 meV per atom
ρ   9.7 g/cm³

***

2.
VASP calculation (PBE) on Hf2Mg3PaN6 after structural relaxation.

a b c (Å): 14.056 3.269 6.451
angles (deg): 90.00 101.69 90.00
Space group C2/m (No. 12)
Symmetry-distinct sites (fractional):
Hf1 0.170 0.000 0.345 (multiplicity 4)
Mg1 0.000 0.500 0.500 (multiplicity 2)
Mg2 0.172 0.000 0.833 (multiplicity 4)
Pa1 0.000 0.500 0.000 (multiplicity 2)
N1 0.005 0.000 0.258 (multiplicity 4)
N2 0.166 0.500 0.097 (multiplicity 4)
N3 0.171 0.500 0.580 (multiplicity 4)

Results
Raw formation energy   -1.346 eV/atom
ρ   8.5 g/cm³

***

3.
VASP calculation (PBE) on La2Dy6Er3 after structural relaxation.

a b c (Å): 6.102 10.573 11.806
angles (deg): 90.00 100.00 90.00
Space group C2/m (No. 12)
Symmetry-distinct sites (fractional):
La1 0.000 0.167 0.000 (multiplicity 4)
Dy1 0.248 0.167 0.743 (multiplicity 8)
Dy2 0.248 0.500 0.743 (multiplicity 4)
Er1 0.000 0.000 0.500 (multiplicity 2)
Er2 0.000 0.335 0.500 (multiplicity 4)

Results
Calculated formation energy   181 meV per atom
ρ   7.8 g/cm³

***

4.
VASP calculation (PBE) on Er4Tm5Zr2 after structural relaxation.

a b c (Å): 3.399 8.842 22.070
angles (deg): 90.00 90.00 90.00
Space group Immm (No. 71)
Symmetry-distinct sites (fractional):
Er1 0.000 0.000 0.098 (multiplicity 4)
Er2 0.000 0.304 0.500 (multiplicity 4)
Tm1 0.000 0.209 0.343 (multiplicity 8)
Tm2 0.000 0.500 0.000 (multiplicity 2)
Zr1 0.000 0.000 0.229 (multiplicity 4)

Results
Calculated formation energy   289 meV per atom
ρ   8.5 g/cm³